# 1
Compound: Mg2GaTc
Source: the Open Quantum Materials Database
Functional: GGA-PBE
Structure: relaxed

Properties
Magnetization   0.01 Bohr magnetons per cell
Total energy   -16.17 eV for the cell shown

```
4
Lattice="0.000 3.194 3.194 3.194 0.000 3.194 3.194 3.194 0.000" Properties=species:S:1:pos:R:3 pbc="T T T"
Ga 3.194 3.194 3.194
Mg 0.000 0.000 0.000
Mg 4.790 4.790 4.790
Tc 1.597 1.597 1.597
```

=====

# 2
Compound: TmMg2Ga2
Source: the Open Quantum Materials Database
Functional: GGA-PBE
Structure: relaxed

Properties
Magnetization   0.01 Bohr magnetons per cell
Total energy   -29.50 eV for the cell shown

```
10
Lattice="-4.877 -6.031 -0.774 5.880 -4.425 -2.570 0.698 -0.988 3.299" Properties=species:S:1:pos:R:3 pbc="T T T"
Ga -1.096 -2.815 -0.611
Ga -2.062 -6.939 -1.642
Ga 3.065 -3.517 -1.702
Ga 2.100 -7.641 -2.733
Mg -1.915 -5.323 0.683
Mg 1.424 -2.985 0.676
Mg 0.278 -8.459 -0.721
Mg 3.617 -6.122 -0.727
Tm 0.000 0.000 0.000
Tm 0.502 -5.228 -1.672
```